Entry 1:
CdInPt5 | GGA-PBE | optimized geometry

Cell lengths 4.9113, 4.9113, 5.6230 Å; angles 90.00, 90.00, 110.13 degrees
Fractional positions:
Pt: 0.0000 0.0000 0.5000
Pt: 0.5000 0.0000 0.7533
Pt: 0.5000 0.0000 0.2467
Pt: 0.0000 0.5000 0.7533
Pt: 0.0000 0.5000 0.2467
In: 0.5000 0.5000 0.5000
Cd: 0.0000 0.0000 0.0000

ΔE_f: -0.1907 eV/atom

=====

Entry 2:
CdInPt2 | GGA-PBE | optimized geometry

Cell lengths 3.9484, 2.9994, 6.6882 Å; angles 63.62, 90.00, 90.00 degrees
Fractional positions:
Pt: 0.0000 0.0034 0.9966
Pt: 0.0000 0.4966 0.5034
In: 0.5000 0.7500 0.7500
Cd: 0.5000 0.2500 0.2500

ΔE_f: -0.3643 eV/atom

=====

Entry 3:
Cd5InPt6 | GGA-PBE | optimized geometry

Cell lengths 4.2724, 7.7207, 6.7577 Å; angles 90.00, 71.57, 90.00 degrees
Fractional positions:
Pt: 0.1650 0.7507 0.6700
Pt: 0.5000 0.2438 0.0000
Pt: 0.5000 0.7562 0.0000
Pt: 0.1650 0.2493 0.6700
Pt: 0.8350 0.2493 0.3300
Pt: 0.8350 0.7507 0.3300
Cd: 0.6701 0.0000 0.6598
Cd: 0.6664 0.5000 0.6673
Cd: 0.3336 0.5000 0.3327
Cd: 0.3299 0.0000 0.3402
Cd: 0.0000 0.5000 0.0000
In: 0.0000 0.0000 0.0000

ΔE_f: -0.3505 eV/atom

=====

Entry 4:
CdInPt2 | GGA-PBE | optimized geometry

Cell lengths 4.6666, 4.6666, 4.6666 Å; angles 60.00, 60.00, 60.00 degrees
Fractional positions:
Pt: 0.0000 0.0000 0.0000
Pt: 0.2500 0.2500 0.2500
In: 0.7500 0.7500 0.7500
Cd: 0.5000 0.5000 0.5000

ΔE_f: -0.1963 eV/atom

=====

Entry 5:
Cd2InPt | GGA-PBE | optimized geometry

Cell lengths 9.3824, 9.3824, 9.3824 Å; angles 19.94, 19.94, 19.94 degrees
Fractional positions:
Cd: 0.2494 0.2494 0.2494
Cd: 0.0071 0.0071 0.0071
In: 0.4925 0.4925 0.4925
Pt: 0.7509 0.7509 0.7509

ΔE_f: -0.0694 eV/atom

=====

Entry 6:
CdInPt2 | GGA-PBE | optimized geometry

Cell lengths 3.0856, 3.0856, 7.9248 Å; angles 90.00, 90.00, 90.00 degrees
Fractional positions:
Cd: 0.0000 0.0000 0.4669
Pt: 0.5000 0.5000 0.2386
Pt: 0.0000 0.0000 0.0083
In: 0.5000 0.5000 0.7862

ΔE_f: -0.1224 eV/atom

=====

Entry 7:
CdIn2Pt | GGA-PBE | optimized geometry

Cell lengths 2.9504, 3.6176, 8.2645 Å; angles 90.00, 90.00, 90.00 degrees
Fractional positions:
Pt: 0.5000 0.5000 0.2500
In: 0.0000 0.0000 0.0428
In: 0.0000 0.0000 0.4572
Cd: 0.5000 0.5000 0.7500

ΔE_f: -0.1616 eV/atom

=====

Entry 8:
CdInPt2 | GGA-PBE | optimized geometry

Cell lengths 2.9933, 4.3179, 5.6869 Å; angles 90.00, 90.00, 90.00 degrees
Fractional positions:
Pt: 0.0000 0.0000 0.9648
Pt: 0.5000 0.5000 0.2868
In: 0.5000 0.5000 0.7901
Cd: 0.0000 0.0000 0.4583

ΔE_f: -0.2583 eV/atom

=====

Values for calculated total energy, eV per atom, ordered as above
-5.0275; -4.2981; -3.9804; -4.1301; -2.7217; -4.0562; -3.2697; -4.1920
Values for total magnetic moment, μB per formula unit, ordered as above
0.00; 0.00; 0.00; 0.00; 0.00; 0.00; 0.00; 0.00